The following is a DFT calculation (GGA-PBE) of crystalline YMo3 at its relaxed geometry.

Cell lengths 6.541, 6.541, 4.419 Å; angles 90.00, 90.00, 120.00 degrees
Element x y z (fractional)
Y 0.333 0.667 0.250
Y 0.667 0.333 0.750
Mo 0.136 0.272 0.750
Mo 0.136 0.864 0.750
Mo 0.272 0.136 0.250
Mo 0.728 0.864 0.750
Mo 0.864 0.136 0.250
Mo 0.864 0.728 0.250

**Crystal system**: hexagonal
**Energy relative to the elements**: 9.990 kcal/mol of atoms
**Relative energy among the computed polymorphs**: 0.178 eV/atom
**DOS(E_F)**: 5.679 states/eV/cell
**Total magnetization**: 0.000 μB/f.u.